[1]
VASP calculation (PBE-GGA) on Pr2HgS after structural relaxation.

The structure in POSCAR format:
```
Pr2HgS
1.0
-2.611 -1.887 -2.564
-1.836 -3.504 1.142
-7.299 2.218 2.495
Hg S Pr
1 1 2
Direct
0.500 0.500 0.500
0.000 0.000 0.000
0.262 0.262 0.214
0.738 0.738 0.786
```

Crystal system: trigonal
E (eV/cell): -18.81

[2]
VASP calculation (PBE-GGA) on Pr6Hg2S3 after structural relaxation.

The structure in POSCAR format:
```
Pr6Hg2S3
1.0
-3.698 -5.549 -2.615
3.363 -6.120 -1.578
-2.464 -4.317 5.913
Pr Hg S
6 2 3
Direct
0.589 0.325 0.225
0.732 0.000 0.787
0.411 0.675 0.775
0.914 0.675 0.225
0.268 0.000 0.213
0.086 0.325 0.775
0.161 0.677 0.500
0.839 0.323 0.500
0.327 0.347 0.000
0.673 0.653 0.000
0.000 0.000 0.000
```

Crystal system: monoclinic
E (eV/cell): -54.68

[3]
VASP calculation (PBE-GGA) on Pr6HgSe3S2 after structural relaxation.

The structure in POSCAR format:
```
Pr6HgSe3S2
1.0
4.187 0.000 0.000
0.000 8.651 0.275
-2.094 -2.528 8.936
Pr S Se Hg
6 2 3 1
Direct
0.670 0.573 0.339
0.330 0.427 0.661
0.670 0.097 0.341
0.330 0.903 0.659
0.005 0.262 0.010
0.995 0.738 0.990
0.169 0.335 0.338
0.831 0.665 0.662
0.165 0.831 0.329
0.835 0.169 0.671
0.500 0.500 0.000
0.500 0.000 0.000
```

Crystal system: monoclinic
E (eV/cell): -67.45

Which value of E does entry 1 give? -18.81 eV/cell

Look up the E of the first one. -18.81 eV/cell

What is the formula in the third record? Pr6HgSe3S2